Crystalline BaTlOs2 at its relaxed geometry. Source: the Alexandria database, functional PBE.

final energy: -21.039 eV for the cell shown
ΔE to the lowest computed polymorph: 106.7 kJ per mole of atoms
space-group type: Immm
total moment: 0.00 Bohr magnetons per cell
ΔE_f: 1.427 eV/atom

a b c (Å): 5.9113 5.9113 5.9113
angles (deg): 148.87 124.59 64.93
Fractional positions:
Ba 0.2500 0.7500 0.5000
Tl 0.7500 0.2500 0.5000
Os 0.9790 0.9790 0.0000
Os 0.5210 0.5210 0.0000